# 1
Material: La2Sm6Y3Mg
Method: DFT, GGA-PBE
State: relaxed

Space group   C2/m (12)
Uncorrected energy   -4.92 eV per atom

a = 6.2463 Å, b = 6.2463 Å, c = 11.9435 Å
α = 95.06°, β = 95.06°, γ = 120.06°
Sites, in units of the cell vectors:
Sm: 0.5867 0.9167 0.7474
Sm: 0.2471 0.2471 0.7464
Sm: 0.4133 0.0833 0.2526
Sm: 0.9167 0.5867 0.7474
Sm: 0.7529 0.7529 0.2536
Sm: 0.0833 0.4133 0.2526
La: 0.6670 0.3330 0.0000
La: 0.3330 0.6670 0.0000
Y: 0.8341 0.1659 0.5000
Y: 0.5000 0.5000 0.5000
Y: 0.1659 0.8341 0.5000
Mg: 0.0000 0.0000 0.0000

# 2
Material: LaSmMgZn
Method: DFT, GGA-PBE
State: relaxed

Space group   F-43m (216)
Uncorrected energy   -3.31 eV per atom
Distance to the lowest polymorph of the same formula   0.126 eV/f.u.

a = 5.3685 Å, b = 5.3685 Å, c = 5.3685 Å
α = 60.00°, β = 60.00°, γ = 60.00°
Sites, in units of the cell vectors:
La: 0.2500 0.2500 0.2500
Zn: 0.0000 0.0000 0.0000
Mg: 0.5000 0.5000 0.5000
Sm: 0.7500 0.7500 0.7500

# 3
Material: LaSmMgZn
Method: DFT, GGA-PBE
State: relaxed

Space group   P4mm (99)
Uncorrected energy   -3.34 eV per atom
Distance to the lowest polymorph of the same formula   0.000 eV/f.u.

a = 3.7532 Å, b = 3.7532 Å, c = 7.8199 Å
α = 90.00°, β = 90.00°, γ = 90.00°
Sites, in units of the cell vectors:
Mg: 0.5000 0.5000 0.1195
Zn: 0.5000 0.5000 0.5916
Sm: 0.0000 0.0000 0.3824
La: 0.0000 0.0000 0.8345

# 4
Material: LaMg14Sn
Method: DFT, GGA-PBE
State: relaxed

Space group   P-6m2 (187)
Uncorrected energy   -1.97 eV per atom
Distance to the lowest polymorph of the same formula   0.549 eV/f.u.

a = 6.6021 Å, b = 6.6021 Å, c = 10.3191 Å
α = 90.00°, β = 90.00°, γ = 120.00°
Sites, in units of the cell vectors:
Mg: 0.1695 0.3391 0.7597
Mg: 0.1695 0.8305 0.2403
Mg: 0.1695 0.3391 0.2403
Mg: 0.4922 0.9845 0.5000
Mg: 0.1695 0.8305 0.7597
Mg: 0.5050 0.0101 0.0000
Mg: 0.6667 0.3333 0.2616
Mg: 0.5050 0.4950 0.0000
Mg: 0.6609 0.8305 0.7597
Mg: 0.4922 0.5078 0.5000
Mg: 0.6609 0.8305 0.2403
Mg: 0.9899 0.4950 0.0000
Mg: 0.6667 0.3333 0.7384
Mg: 0.0155 0.5078 0.5000
La: 0.0000 0.0000 0.5000
Sn: 0.0000 0.0000 0.0000

# 5
Material: La2MgSn4
Method: DFT, GGA-PBE
State: relaxed

Space group   I4/mmm (139)
Uncorrected energy   -4.14 eV per atom

a = 5.2909 Å, b = 5.2909 Å, c = 8.8677 Å
α = 72.64°, β = 72.64°, γ = 90.00°
Sites, in units of the cell vectors:
Sn: 0.5000 0.0000 0.0000
Sn: 0.8286 0.8286 0.3429
Sn: 0.0000 0.5000 0.0000
Sn: 0.1714 0.1714 0.6571
La: 0.6295 0.6295 0.7411
La: 0.3705 0.3705 0.2589
Mg: 0.0000 0.0000 0.0000

# 6
Material: LaMgSn2
Method: DFT, GGA-PBE
State: relaxed

Space group   P4/mmm (123)
Uncorrected energy   -4.07 eV per atom

a = 3.8416 Å, b = 3.8416 Å, c = 7.2861 Å
α = 90.00°, β = 90.00°, γ = 90.00°
Sites, in units of the cell vectors:
Sn: 0.0000 0.0000 0.2105
Sn: 0.0000 0.0000 0.7895
La: 0.5000 0.5000 0.5000
Mg: 0.5000 0.5000 0.0000

# 7
Material: LaMg2Sn
Method: DFT, GGA-PBE
State: relaxed

Space group   R-3m (166)
Uncorrected energy   -2.93 eV per atom

a = 3.3570 Å, b = 3.3570 Å, c = 11.6725 Å
α = 81.73°, β = 81.73°, γ = 60.00°
Sites, in units of the cell vectors:
Sn: 0.5000 0.5000 0.5000
La: 0.0000 0.0000 0.0000
Mg: 0.0958 0.0958 0.7125
Mg: 0.9042 0.9042 0.2875

# 8
Material: LaMg2Sn
Method: DFT, GGA-PBE
State: relaxed

Space group   I-42d (122)
Uncorrected energy   -3.18 eV per atom

a = 4.5870 Å, b = 4.5870 Å, c = 11.7856 Å
α = 78.78°, β = 78.78°, γ = 90.00°
Sites, in units of the cell vectors:
Mg: 0.8750 0.8484 0.7500
Mg: 0.5984 0.1250 0.2500
Mg: 0.1516 0.6250 0.2500
Mg: 0.3750 0.4016 0.7500
Sn: 0.5000 0.5000 0.0000
Sn: 0.2500 0.7500 0.5000
La: 0.7500 0.2500 0.5000
La: 0.0000 0.0000 0.0000

no.,E_form (eV/f.u.),mass density (g cm⁻³)
1,0.16,6.153
2,-0.71,5.752
3,-0.84,5.713
4,-0.22,2.549
5,-1.52,5.732
6,-1.74,6.187
7,0.39,4.526
8,-0.59,4.266